No. 1
Computed, not measured: a geometry-optimized MgNbTc2Au structure at the PBE level of DFT.

Cell lengths 4.544, 4.544, 4.432 Å; angles 90.00, 90.00, 90.00 degrees
Last column: magnetic moment on the atom in μB.
Positions (direct):
Mg1 0.000 0.000 0.000  -0.01
Nb1 0.500 0.500 0.500  -0.33
Au1 0.000 0.000 0.500  0.01
Tc1 0.000 0.500 0.000  0.52
Tc2 0.500 0.000 0.000  0.52

Calculated values
ΔE to the lowest computed polymorph = 0.000 eV/atom
Fermi-level density of states = 0.825 states/eV per atom
theoretical density = 9258 kg/m³
total energy = -5.69 eV per atom

***

No. 2
Computed, not measured: a geometry-optimized MgNbTc2Au structure at the PBE level of DFT.

Cell lengths 4.956, 4.538, 4.956 Å; angles 90.00, 90.00, 90.00 degrees
Last column: magnetic moment on the atom in μB.
Positions (direct):
Mg1 0.000 0.500 0.000  -0.02
Nb1 0.500 0.500 0.500  -1.57
Au1 0.000 0.000 0.000  0.15
Tc1 0.000 0.000 0.500  2.07
Tc2 0.500 0.000 0.000  1.57

Calculated values
ΔE to the lowest computed polymorph = 0.192 eV/atom
Fermi-level density of states = 0.867 states/eV per atom
theoretical density = 7599 kg/m³
total energy = -5.50 eV per atom

***

| no. | total magnetization (μB per atom) |
| --- | --- |
| 1 | 0.14 |
| 2 | 0.41 |